(1)
Tl2CrSe: PBEsol geometry, meta-GGA SCAN.

a b c (Å): 3.7767 3.7767 7.9619
angles (deg): 76.28 76.28 60.00
Closest atoms and distances in Å follow each position.
Fractional coordinates of all 4 atoms:
Tl: 0.7501 0.7501 0.7498  3 Se 2.90, 3 Cr 2.90
Tl: 0.2499 0.2499 0.2502  3 Se 2.90, 3 Cr 2.90
Se: 0.5000 0.5000 0.5000  6 Tl 2.90
Cr: 0.0000 0.0000 0.0000  6 Tl 2.90

Results
Energy: -45.6595 eV/atom
V: 95 Å³/cell
Raw formation energy: 0.135 eV/atom

(2)
CrFeS3: PBEsol geometry, meta-GGA SCAN.

a b c (Å): 4.4447 4.4447 4.4447
angles (deg): 90.00 90.00 90.00
Closest atoms and distances in Å follow each position.
Fractional coordinates of all 5 atoms:
Fe: 0.5000 0.5000 0.5000  12 S 3.14
S: 0.0000 0.5000 0.0000  2 Cr 2.22
S: 0.5000 0.0000 0.0000  2 Cr 2.22
S: 0.0000 0.0000 0.5000  2 Cr 2.22
Cr: 0.0000 0.0000 0.0000  6 S 2.22

Results
Energy: -12.8222 eV/atom
V: 88 Å³/cell
Raw formation energy: 0.257 eV/atom

(3)
Rb2MnPS: PBEsol geometry, meta-GGA SCAN.

a b c (Å): 4.2804 6.4989 6.4989
angles (deg): 90.00 90.00 90.00
Closest atoms and distances in Å follow each position.
Fractional coordinates of all 5 atoms:
S: 0.5000 0.0000 0.0000  2 Mn 2.14
Rb: 0.0000 0.5000 0.0000  2 Mn 3.25
Rb: 0.0000 0.0000 0.5000  2 Mn 3.25
P: 0.5000 0.5000 0.5000  8 Rb 3.89, 2 P 4.28
Mn: 0.0000 0.0000 0.0000  2 S 2.14

Results
Energy: -15.9700 eV/atom
V: 181 Å³/cell
Raw formation energy: -0.018 eV/atom

(4)
Cd4Ag: PBEsol geometry, meta-GGA SCAN.

a b c (Å): 3.1497 5.1434 6.6665
angles (deg): 74.57 76.34 72.17
Closest atoms and distances in Å follow each position.
Fractional coordinates of all 5 atoms:
Cd: 0.2054 0.3936 0.1956  9 Cd 2.91-3.15, 3 Ag 2.97
Cd: 0.5944 0.1995 0.6116  10 Cd 2.91-3.15, 2 Ag 2.96
Cd: 0.4056 0.8005 0.3884  10 Cd 2.91-3.15, 2 Ag 2.96
Cd: 0.7946 0.6064 0.8044  9 Cd 2.91-3.15, 3 Ag 2.97
Ag: 0.0000 0.0000 0.0000  10 Cd 2.96-2.97, 2 Ag 3.15

Results
ΔE_f: 0.00 eV per atom
Energy: -30.6041 eV/atom
V: 98 Å³/cell

(5)
Zr2Ga2Tc: PBEsol geometry, meta-GGA SCAN.

a b c (Å): 3.7002 6.8081 6.8081
angles (deg): 90.00 90.00 90.00
Closest atoms and distances in Å follow each position.
Fractional coordinates of all 10 atoms:
Tc: 0.0000 0.0000 0.0000  4 Ga 2.68
Tc: 0.0000 0.5000 0.5000  4 Ga 2.68
Ga: 0.0000 0.1280 0.3720  1 Ga 2.47, 2 Zr 2.64, 2 Tc 2.68
Ga: 0.0000 0.3720 0.8720  1 Ga 2.47, 2 Zr 2.64, 2 Tc 2.68
Ga: 0.0000 0.8720 0.6280  1 Ga 2.47, 2 Zr 2.64, 2 Tc 2.68
Ga: 0.0000 0.6280 0.1280  1 Ga 2.47, 2 Zr 2.64, 2 Tc 2.68
Zr: 0.5000 0.8235 0.3235  6 Ga 2.64-2.80
Zr: 0.5000 0.6765 0.8235  6 Ga 2.64-2.80
Zr: 0.5000 0.1765 0.6765  6 Ga 2.64-2.80
Zr: 0.5000 0.3235 0.1765  6 Ga 2.64-2.80

Results
ΔE_f: -0.68 eV per atom
Energy: -26.5052 eV/atom
V: 172 Å³/cell

(6)
TeIrSe: PBEsol geometry, meta-GGA SCAN.

a b c (Å): 3.0011 3.3421 6.4626
angles (deg): 104.99 103.43 90.00
Closest atoms and distances in Å follow each position.
Fractional coordinates of all 3 atoms:
Ir: 0.9977 0.9977 0.9954  4 Se 2.73, 4 Te 2.78, 2 Ir 3.00
Te: 0.6333 0.6333 0.2666  4 Ir 2.78, 2 Te 3.00
Se: 0.3690 0.3690 0.7380  4 Ir 2.73, 2 Se 3.00

Results
Energy: -42.4610 eV/atom
V: 61 Å³/cell
Raw formation energy: 0.349 eV/atom

(7)
TaAlI2O: PBEsol geometry, meta-GGA SCAN.

a b c (Å): 3.8694 5.6864 5.6864
angles (deg): 90.00 90.00 90.00
Closest atoms and distances in Å follow each position.
Fractional coordinates of all 5 atoms:
Al: 0.5000 0.5000 0.5000  8 I 3.44
I: 0.0000 0.0000 0.5000  2 Ta 2.84
I: 0.0000 0.5000 0.0000  2 Ta 2.84
Ta: 0.0000 0.0000 0.0000  2 O 1.93
O: 0.5000 0.0000 0.0000  2 Ta 1.93

Results
Energy: -31.2643 eV/atom
V: 125 Å³/cell
Raw formation energy: -0.454 eV/atom

(8)
La4Ga3FeO12: PBEsol geometry, meta-GGA SCAN.

a b c (Å): 5.4753 5.4467 7.7197
angles (deg): 90.13 90.10 89.98
Closest atoms and distances in Å follow each position.
Fractional coordinates of all 20 atoms:
La: 0.5066 0.0232 0.7530  6 O 2.39-2.64
La: 0.9952 0.5269 0.7537  6 O 2.41-2.64
La: 0.4934 0.9768 0.2470  6 O 2.39-2.64
La: 0.0048 0.4731 0.2463  6 O 2.41-2.64
O: 0.7304 0.7771 0.9629  1 Fe 1.93, 1 Ga 1.99
O: 0.9286 0.0107 0.2450  1 Fe 1.93, 1 Ga 2.01
O: 0.5664 0.5058 0.2476  2 Ga 1.95-1.98
O: 0.2696 0.2229 0.0371  1 Fe 1.93, 1 Ga 1.99
O: 0.2200 0.7201 0.4628  2 Ga 1.96-1.97
O: 0.7207 0.7807 0.5359  2 Ga 1.96-1.97
O: 0.7800 0.2799 0.5372  2 Ga 1.96-1.97
O: 0.2223 0.7299 0.0389  1 Fe 1.93, 1 Ga 1.99
O: 0.4336 0.4942 0.7524  2 Ga 1.95-1.98
O: 0.2793 0.2193 0.4641  2 Ga 1.96-1.97
O: 0.7777 0.2701 0.9611  1 Fe 1.93, 1 Ga 1.99
O: 0.0714 0.9893 0.7550  1 Fe 1.93, 1 Ga 2.01
Fe: 0.0000 0.0000 0.0000  6 O 1.93
Ga: 0.5000 0.5000 0.0000  6 O 1.95-1.99
Ga: 0.5000 0.5000 0.5000  6 O 1.97-1.98
Ga: 0.0000 0.0000 0.5000  6 O 1.96-2.01

Results
Energy: -18.6375 eV/atom
V: 230 Å³/cell
Raw formation energy: -2.919 eV/atom

(9)
Y2GaH2: PBEsol geometry, meta-GGA SCAN.

a b c (Å): 3.5732 3.5732 6.5933
angles (deg): 105.72 105.72 90.00
Closest atoms and distances in Å follow each position.
Fractional coordinates of all 5 atoms:
Y: 0.3557 0.3557 0.7113  4 H 2.20
Y: 0.6443 0.6443 0.2887  4 H 2.20
H: 0.2500 0.7500 0.5000  4 Y 2.20
H: 0.7500 0.2500 0.5000  4 Y 2.20
Ga: 0.0000 0.0000 0.0000  8 Y 3.08

Results
Energy: -16.5921 eV/atom
V: 78 Å³/cell

(10)
CsTl2Sb2: PBEsol geometry, meta-GGA SCAN.

a b c (Å): 5.2415 5.2415 7.4197
angles (deg): 110.68 110.68 90.00
Closest atoms and distances in Å follow each position.
Fractional coordinates of all 5 atoms:
Cs: 0.0000 0.0000 0.0000  8 Sb 4.01, 8 Tl 4.15
Sb: 0.6191 0.6191 0.2383  1 Sb 3.06, 4 Tl 3.11
Sb: 0.3809 0.3809 0.7617  1 Sb 3.06, 4 Tl 3.11
Tl: 0.2500 0.7500 0.5000  4 Sb 3.11
Tl: 0.7500 0.2500 0.5000  4 Sb 3.11

Results
Energy: -51.6767 eV/atom
V: 177 Å³/cell
Raw formation energy: -0.267 eV/atom

(11)
KSc2Rh: PBEsol geometry, meta-GGA SCAN.

a b c (Å): 3.8922 3.8922 9.3483
angles (deg): 77.98 77.98 60.00
Closest atoms and distances in Å follow each position.
Fractional coordinates of all 4 atoms:
Sc: 0.2879 0.2879 0.1363  3 Rh 2.57
Sc: 0.7121 0.7121 0.8637  3 Rh 2.57
Rh: 0.0000 0.0000 0.0000  6 Sc 2.57
K: 0.5000 0.5000 0.5000  6 K 3.89, 6 Sc 3.99

Results
ΔE_f: -0.29 eV per atom
Energy: -17.9311 eV/atom
V: 119 Å³/cell

(12)
ZrCl3: PBEsol geometry, meta-GGA SCAN.

a b c (Å): 3.3560 4.9888 11.8267
angles (deg): 90.00 90.00 90.00
Closest atoms and distances in Å follow each position.
Fractional coordinates of all 8 atoms:
Cl: 0.2483 0.0000 0.1591  2 Zr 2.52
Cl: 0.2524 0.0000 0.5000  2 Zr 2.49
Cl: 0.7517 0.5000 0.6591  2 Zr 2.52
Cl: 0.7476 0.5000 0.0000  2 Zr 2.49
Cl: 0.2483 0.0000 0.8409  2 Zr 2.52
Cl: 0.7517 0.5000 0.3409  2 Zr 2.52
Zr: 0.2518 0.5000 0.5000  6 Cl 2.49-2.52
Zr: 0.7482 0.0000 0.0000  6 Cl 2.49-2.52

Results
Energy: -15.5539 eV/atom
V: 198 Å³/cell
Raw formation energy: -1.896 eV/atom

(13)
Li2CuSi2: PBEsol geometry, meta-GGA SCAN.

a b c (Å): 4.1065 5.9536 5.9536
angles (deg): 90.00 90.00 90.00
Closest atoms and distances in Å follow each position.
Fractional coordinates of all 10 atoms:
Li: 0.5000 0.3360 0.1640  6 Si 2.64-2.73, 1 Li 2.76
Li: 0.5000 0.1640 0.6640  6 Si 2.64-2.73, 1 Li 2.76
Li: 0.5000 0.6640 0.8360  6 Si 2.64-2.73, 1 Li 2.76
Li: 0.5000 0.8360 0.3360  6 Si 2.64-2.73, 1 Li 2.76
Cu: 0.0000 0.5000 0.5000  4 Si 2.31
Cu: 0.0000 0.0000 0.0000  4 Si 2.31
Si: 0.0000 0.8617 0.6383  2 Cu 2.31, 1 Si 2.33
Si: 0.0000 0.1383 0.3617  2 Cu 2.31, 1 Si 2.33
Si: 0.0000 0.3617 0.8617  2 Cu 2.31, 1 Si 2.33
Si: 0.0000 0.6383 0.1383  2 Cu 2.31, 1 Si 2.33

Results
Energy: -8.1756 eV/atom
V: 146 Å³/cell
Raw formation energy: -0.174 eV/atom